Tm2B4Mo3, relaxed, DFT PBE-GGA; crystal system = monoclinic; E_tot = -8.005 eV/atom; space-group type = No. 14
1.0
6.268 0.000 0.000
0.000 6.344 0.000
-1.740 0.000 5.870
Mo B Tm
6 8 4
Direct
0.000 0.500 0.500 Mo
0.758 0.820 0.250 Mo
0.758 0.680 0.750 Mo
0.000 0.000 0.000 Mo
0.242 0.320 0.250 Mo
0.242 0.180 0.750 Mo
0.002 0.106 0.390 B
0.420 0.031 0.101 B
0.420 0.469 0.601 B
0.998 0.606 0.110 B
0.998 0.894 0.610 B
0.580 0.531 0.399 B
0.580 0.969 0.899 B
0.002 0.394 0.890 B
0.308 0.672 0.911 Tm
0.692 0.328 0.089 Tm
0.692 0.172 0.589 Tm
0.308 0.828 0.411 Tm

=====

CsNpAu, relaxed, DFT PBE-GGA; crystal system = cubic; E_tot = -4.391 eV/atom; space-group type = No. 216
1.0
3.573 -3.580 -1.061
4.550 1.406 -2.008
4.291 -0.297 2.865
Au Np Cs
1 1 1
Direct
0.750 0.750 0.750 Au
0.250 0.250 0.250 Np
0.000 0.000 0.000 Cs

=====

LuUPd, relaxed, DFT PBE-GGA; crystal system = cubic; excess energy over the best structure of this formula in the dataset = 0.000 eV per atom; E_tot = -6.862 eV/atom; formation energy from the elements = 136 meV per atom; space-group type = No. 216
1.0
0.000 3.392 3.392
3.392 0.000 3.392
3.392 3.392 0.000
Lu U Pd
1 1 1
Direct
0.250 0.250 0.250 Lu
0.750 0.750 0.750 U
0.000 0.000 0.000 Pd